Below is a relaxed structure of NpInPb2, with properties calculated at the PBE-GGA level.

Computed properties:
Formation enthalpy at 0 K (kJ/mol of atoms): 79
Total magnetization (μB/cell): 13.11
DFT total energy (eV/atom): -4.96
DOS(E_F) (states/eV per cell): 36.37

Lattice parameters (Å, degrees): 5.1456 5.1456 24.3037 90.00 90.00 120.00
Space group R-3m (No. 166, hexagonal axes)
Asymmetric unit:
Np 0.0000 0.0000 0.0000
In 0.0000 0.0000 0.5000
Pb 0.0000 0.0000 0.3795